No. 1
{"formula": "Pm2HgSe", "functional": "PBE", "state": "optimized geometry", "lattice_angstrom": [[4.049, 0.000, 0.000], [2.025, 3.507, 0.000], [2.025, 1.169, 8.026]], "species": ["Pm", "Pm", "Hg", "Se"], "frac_coords": [[0.074, 0.074, 0.779], [0.259, 0.259, 0.224], [0.500, 0.500, 0.501], [0.668, 0.668, 0.996]], "space_group": "R3m, No. 160", "e_above_lowest_polymorph_mev_per_atom": 68, "crystal_system": "trigonal", "e_form_raw_ev_per_atom": -1.063}

---

No. 2
{"formula": "Pm7HgSe5", "functional": "PBE", "state": "optimized geometry", "lattice_angstrom": [[-1.776, 0.937, 3.656], [-5.355, -1.339, -4.637], [0.490, -24.291, 6.464]], "species": ["Pm", "Pm", "Pm", "Pm", "Pm", "Pm", "Pm", "Pm", "Pm", "Pm", "Pm", "Pm", "Pm", "Pm", "Hg", "Hg", "Se", "Se", "Se", "Se", "Se", "Se", "Se", "Se", "Se", "Se"], "frac_coords": [[0.473, 0.945, 0.250], [0.528, 0.056, 0.750], [0.638, 0.275, 0.037], [0.363, 0.726, 0.963], [0.363, 0.726, 0.537], [0.637, 0.275, 0.463], [0.186, 0.373, 0.176], [0.815, 0.629, 0.824], [0.815, 0.630, 0.676], [0.186, 0.371, 0.324], [0.912, 0.825, 0.109], [0.088, 0.177, 0.891], [0.088, 0.177, 0.609], [0.912, 0.824, 0.391], [0.801, 0.602, 0.250], [0.200, 0.400, 0.750], [0.000, 0.001, 0.000], [0.725, 0.450, 0.929], [0.276, 0.552, 0.071], [0.549, 0.098, 0.358], [0.451, 0.903, 0.642], [0.000, 0.000, 0.500], [0.275, 0.551, 0.429], [0.725, 0.450, 0.571], [0.451, 0.902, 0.858], [0.550, 0.099, 0.142]], "space_group": "C2/m, No. 12", "crystal_system": "monoclinic", "e_form_raw_ev_per_atom": -1.489}

---

No. 3
{"formula": "Pm4HgSe2", "functional": "PBE", "state": "optimized geometry", "lattice_angstrom": [[4.177, 0.000, 0.000], [-2.089, 6.808, 0.000], [0.000, 0.000, 14.444]], "species": ["Pm", "Pm", "Pm", "Pm", "Pm", "Pm", "Pm", "Pm", "Hg", "Hg", "Se", "Se", "Se", "Se"], "frac_coords": [[0.227, 0.453, 0.621], [0.773, 0.547, 0.379], [0.773, 0.547, 0.121], [0.227, 0.453, 0.879], [0.939, 0.879, 0.750], [0.061, 0.121, 0.250], [0.500, 0.000, 0.000], [0.500, 0.000, 0.500], [0.389, 0.778, 0.250], [0.611, 0.222, 0.750], [0.863, 0.726, 0.939], [0.137, 0.274, 0.061], [0.863, 0.726, 0.561], [0.137, 0.274, 0.439]], "space_group": "Cmcm, No. 63", "crystal_system": "orthorhombic", "e_form_raw_ev_per_atom": -1.175}

---

No. 4
{"formula": "Pm4HgSe5", "functional": "PBE", "state": "optimized geometry", "lattice_angstrom": [[-2.222, -0.361, 3.530], [7.412, -3.523, 4.305], [1.185, 9.885, -0.726]], "species": ["Pm", "Pm", "Pm", "Pm", "Hg", "Se", "Se", "Se", "Se", "Se"], "frac_coords": [[0.325, 0.921, 0.650], [0.014, 0.730, 0.028], [0.675, 0.079, 0.350], [0.986, 0.270, 0.972], [0.500, 0.000, 0.000], [0.873, 0.758, 0.745], [0.829, 0.149, 0.659], [0.171, 0.851, 0.341], [0.500, 0.500, 0.000], [0.127, 0.242, 0.255]], "space_group": "C2/m, No. 12", "crystal_system": "monoclinic", "e_form_raw_ev_per_atom": -1.479}

---

Number 1 is which compound? Pm2HgSe

---

Please write out number 1 again, unchanged.
{"formula": "Pm2HgSe", "functional": "PBE", "state": "optimized geometry", "lattice_angstrom": [[4.049, 0.000, 0.000], [2.025, 3.507, 0.000], [2.025, 1.169, 8.026]], "species": ["Pm", "Pm", "Hg", "Se"], "frac_coords": [[0.074, 0.074, 0.779], [0.259, 0.259, 0.224], [0.500, 0.500, 0.501], [0.668, 0.668, 0.996]], "space_group": "R3m, No. 160", "e_above_lowest_polymorph_mev_per_atom": 68, "crystal_system": "trigonal", "e_form_raw_ev_per_atom": -1.063}

---

What did the first record say?
{"formula": "Pm2HgSe", "functional": "PBE", "state": "optimized geometry", "lattice_angstrom": [[4.049, 0.000, 0.000], [2.025, 3.507, 0.000], [2.025, 1.169, 8.026]], "species": ["Pm", "Pm", "Hg", "Se"], "frac_coords": [[0.074, 0.074, 0.779], [0.259, 0.259, 0.224], [0.500, 0.500, 0.501], [0.668, 0.668, 0.996]], "space_group": "R3m, No. 160", "e_above_lowest_polymorph_mev_per_atom": 68, "crystal_system": "trigonal", "e_form_raw_ev_per_atom": -1.063}